The following is a DFT calculation (PBE-GGA) of a geometry-optimized MgMo2Au structure.

```
data_MgMo2Au
_symmetry_space_group_name_H-M 'P 1'
_symmetry_Int_Tables_number 1
_cell_length_a 5.2441
_cell_length_b 5.2441
_cell_length_c 5.2441
_cell_angle_alpha 143.02
_cell_angle_beta 126.43
_cell_angle_gamma 66.88
loop_
_symmetry_equiv_pos_as_xyz
'x,y,z'
loop_
_atom_site_label
_atom_site_fract_x
_atom_site_fract_y
_atom_site_fract_z
Mo1 0.9788 0.9788 0.0000
Mg1 0.2500 0.7500 0.5000
Au1 0.5003 0.5003 0.0000
Mo2 0.7710 0.2710 0.5000
```

Properties
- energy relative to the elements (eV per atom) = 0.181
- total magnetic moment (μB per atom) = 0.00